Arrangement 1

An optimized crystal structure of CeNdSe2. Source: Alexandria, functional PBE.

POSCAR file:
```
CeNdSe2
1.0
2.054 1.186 7.392
-2.054 1.186 7.392
0.000 -2.372 7.392
Ce Nd Se
1 1 2
direct
0.000 0.000 0.000 Ce
0.176 0.176 0.176 Nd
0.420 0.420 0.420 Se
0.589 0.589 0.589 Se
```

Computed properties:
Its spin magnetization is 1.04 μB per cell.


Arrangement 2

An optimized crystal structure of CeNdSe2. Source: Alexandria, functional PBE.

POSCAR file:
```
CeNdSe2
1.0
-2.982 2.982 5.965
2.982 -2.982 5.965
2.982 2.982 -5.965
Ce Nd Se
2 2 4
direct
0.375 0.625 0.750 Ce
0.625 0.375 0.250 Ce
0.125 0.875 0.250 Nd
0.875 0.125 0.750 Nd
0.126 0.376 0.750 Se
0.376 0.126 0.250 Se
0.624 0.874 0.750 Se
0.874 0.624 0.250 Se
```

Computed properties:
Its spin magnetization is 2.24 μB per cell.


Tell me which of them is the most stable. Sure, it is arrangement 2.


Arrangement 1

An optimized crystal structure of B2C. Source: Alexandria, functional PBE.

POSCAR file:
```
B2C
1.0
6.740 -1.327 0.000
6.740 1.327 0.000
-1.198 0.000 4.811
B C
8 4
direct
0.000 0.000 0.000 B
0.334 0.334 0.661 B
0.503 0.503 0.598 B
0.574 0.574 0.195 B
0.698 0.698 0.379 B
0.722 0.722 0.021 B
0.844 0.844 0.277 B
0.867 0.867 0.934 B
0.056 0.056 0.740 C
0.172 0.172 0.824 C
0.212 0.212 0.566 C
0.392 0.392 0.421 C
```

Computed properties:
Its spin magnetization is 0.00 μB per cell.


Arrangement 2

An optimized crystal structure of B2C. Source: Alexandria, functional PBE.

POSCAR file:
```
B2C
1.0
4.544 -1.363 0.000
4.544 1.363 0.000
-2.411 0.000 7.491
B C
8 4
direct
0.000 0.000 0.000 B
0.182 0.182 0.164 B
0.227 0.227 0.747 B
0.381 0.381 0.140 B
0.506 0.506 0.825 B
0.811 0.811 0.000 B
0.890 0.890 0.571 B
0.984 0.984 0.410 B
0.356 0.356 0.650 C
0.520 0.520 0.330 C
0.634 0.634 0.229 C
0.679 0.679 0.816 C
```

Computed properties:
Its spin magnetization is 0.00 μB per cell.


Tell me which of them is the most stable. Sure, it is arrangement 2.


Arrangement 1

An optimized crystal structure of HfNb2Tc2. Source: Alexandria, functional PBE.

POSCAR file:
```
HfNb2Tc2
1.0
7.734 0.000 0.000
0.000 7.734 0.000
0.000 0.000 2.983
Hf Nb Tc
2 4 4
direct
0.000 0.000 0.000 Hf
0.500 0.500 0.000 Hf
0.143 0.357 0.000 Nb
0.357 0.857 0.000 Nb
0.643 0.143 0.000 Nb
0.857 0.643 0.000 Nb
0.158 0.658 0.500 Tc
0.342 0.158 0.500 Tc
0.658 0.842 0.500 Tc
0.842 0.342 0.500 Tc
```

Computed properties:
Its spin magnetization is 0.00 μB per cell.


Arrangement 2

An optimized crystal structure of HfNb2Tc2. Source: Alexandria, functional PBE.

POSCAR file:
```
HfNb2Tc2
1.0
1.603 -8.726 0.000
1.603 8.726 0.000
0.000 0.000 3.182
Hf Nb Tc
1 2 2
direct
0.000 0.000 0.000 Hf
0.183 0.817 0.000 Nb
0.817 0.183 0.000 Nb
0.403 0.597 0.500 Tc
0.597 0.403 0.500 Tc
```

Computed properties:
Its spin magnetization is 0.00 μB per cell.


Tell me which of them is the most stable. Sure, it is arrangement 2.


Arrangement 1

An optimized crystal structure of KSrZr2. Source: Alexandria, functional PBE.

POSCAR file:
```
KSrZr2
1.0
-1.653 3.332 6.347
1.653 -3.332 6.347
1.653 3.332 -6.347
K Sr Zr
1 1 2
direct
0.000 0.000 0.000 K
0.717 0.217 0.500 Sr
0.266 0.766 0.500 Zr
0.449 0.449 0.000 Zr
```

Computed properties:
Its spin magnetization is 0.00 μB per cell.


Arrangement 2

An optimized crystal structure of KSrZr2. Source: Alexandria, functional PBE.

POSCAR file:
```
KSrZr2
1.0
3.284 -6.432 0.000
3.284 6.432 0.000
-1.482 0.000 2.965
K Sr Zr
1 1 2
direct
0.000 0.000 0.000 K
0.500 0.500 0.000 Sr
0.000 0.500 0.500 Zr
0.500 0.000 0.500 Zr
```

Computed properties:
Its spin magnetization is 0.92 μB per cell.


Tell me which of them is the most stable. Sure, it is arrangement 1.


Arrangement 1

An optimized crystal structure of SbIrBr2. Source: Alexandria, functional PBE.

POSCAR file:
```
SbIrBr2
1.0
1.830 1.056 8.842
-1.830 1.056 8.842
0.000 -2.113 8.842
Sb Ir Br
1 1 2
direct
0.000 0.000 0.000 Sb
0.500 0.500 0.500 Ir
0.221 0.221 0.221 Br
0.779 0.779 0.779 Br
```

Computed properties:
Its spin magnetization is 0.00 μB per cell.


Arrangement 2

An optimized crystal structure of SbIrBr2. Source: Alexandria, functional PBE.

POSCAR file:
```
SbIrBr2
1.0
5.206 0.000 0.000
0.000 3.871 0.000
-2.585 0.000 5.200
Sb Ir Br
1 1 2
direct
0.000 0.000 0.000 Sb
0.841 0.500 0.682 Ir
0.303 0.500 0.605 Br
0.640 0.000 0.278 Br
```

Computed properties:
Its spin magnetization is 0.00 μB per cell.


Tell me which of them is the most stable. Sure, it is arrangement 2.